No. 1
Tl3GeB | PBE-GGA | relaxed

Cell: 5.544 5.544 5.544 Å, 90.00 90.00 90.00°
Positions (direct):
Tl1 0.000 0.000 0.500
Tl2 0.000 0.500 0.000
Tl3 0.500 0.000 0.000
Ge1 0.000 0.000 0.000
B1 0.500 0.500 0.500

Values from the calculation:
Calculated total energy: -11.92 eV/f.u.
Magnetization: 0.00 Bohr magnetons per cell
DFT formation energy: 1.30 eV/atom

No. 2
La2Sc | PBE-GGA | relaxed

Cell: 5.642 5.642 3.465 Å, 90.00 90.00 90.00°
Positions (direct):
La1 0.000 0.500 0.000
La2 0.500 0.000 0.000
Sc1 0.000 0.000 0.500

Values from the calculation:
Calculated total energy: -15.12 eV/f.u.
Magnetization: 0.00 Bohr magnetons per cell
DFT formation energy: 0.35 eV/atom

No. 3
Er3Sc4In2 | PBE-GGA | relaxed

Cell: 7.448 7.448 7.398 Å, 107.26 107.26 36.42°
Positions (direct):
Er1 0.000 0.000 0.000
Er2 0.113 0.113 0.665
Er3 0.887 0.887 0.335
Sc1 0.220 0.220 0.328
Sc2 0.441 0.441 0.669
Sc3 0.559 0.559 0.331
Sc4 0.780 0.780 0.672
In1 0.336 0.336 0.998
In2 0.664 0.664 0.002

Values from the calculation:
Calculated total energy: -46.05 eV/f.u.
Magnetization: 0.00 Bohr magnetons per cell
DFT formation energy: -0.17 eV/atom